DFT (PBE with a Hubbard U) results for RbMoO2F after structural relaxation.

Calculated values
- DOS at the Fermi energy (states/eV/f.u.) = 3.06
- uncorrected energy (eV/cell) = -17.7
- density (g/cm³) = 4.192

Structure (POSCAR):
```
RbMoO2F
1.0
4.388 0.000 0.000
0.000 4.388 0.000
0.000 0.000 4.781
Mo O F Rb
1 2 1 1
Direct
0.500 0.500 0.500
0.000 0.500 0.000
0.500 0.000 0.000
0.000 0.000 0.500
0.000 0.000 0.000
```